# 1
This record from OQMD describes a relaxed structure of LuIrNO. The functional is PBE.

abc: 3.8549 4.7237 5.5509
angles: 90.00 90.00 90.00
Fractional positions:
N (0.0000, 0.4719, 0.6809)
N (0.0000, 0.9719, 0.3191)
O (0.5000, 0.3135, 0.1029)
O (0.5000, 0.8135, 0.8971)
Ir (0.5000, 0.4891, 0.6494)
Ir (0.5000, 0.9891, 0.3506)
Lu (0.0000, 0.9795, 0.7622)
Lu (0.0000, 0.4795, 0.2378)

Output
The calculation puts the energy above the most stable polymorph in this dataset at 25 meV/atom. The value obtained for the magnetization is 0.00 μB per cell.

***

# 2
This record from OQMD describes a relaxed structure of Pr3NdHo2Te2Pd. The functional is PBE.

abc: 4.0591 8.6463 8.6463
angles: 120.56 90.00 90.00
Fractional positions:
Ho (0.5000, 0.0001, 0.7583)
Ho (0.5000, 0.7583, 0.0001)
Pr (0.0000, 0.4093, 0.0016)
Pr (0.0000, 0.5932, 0.5932)
Pr (0.0000, 0.0016, 0.4093)
Te (0.5000, 0.6714, 0.3333)
Te (0.5000, 0.3333, 0.6714)
Nd (0.5000, 0.2469, 0.2469)
Pd (0.0000, 0.9858, 0.9858)

Output
Its total energy is -5.264 eV per atom. The value obtained for the magnetization is 0.00 μB per cell.

***

# 3
This record from OQMD describes a relaxed structure of YZn2. The functional is PBE.

abc: 13.1139 8.2315 4.6353
angles: 90.00 90.00 73.09
Fractional positions:
Zn (0.6318, 0.0674, 0.0000)
Zn (0.8554, 0.4536, 0.5000)
Zn (0.1484, 0.8010, 0.5000)
Zn (0.9427, 0.3197, 0.0000)
Zn (0.3387, 0.9074, 0.0000)
Zn (0.9615, 0.7233, 0.5000)
Zn (0.0461, 0.5603, 0.0000)
Zn (0.2518, 0.0417, 0.5000)
Zn (0.0381, 0.1575, 0.5000)
Zn (0.4902, 0.5483, 0.0000)
Zn (0.2330, 0.6379, 0.0000)
Zn (0.1564, 0.2039, 0.0000)
Zn (0.5830, 0.7770, 0.0000)
Zn (0.7042, 0.8125, 0.5000)
Zn (0.5625, 0.2936, 0.5000)
Zn (0.6114, 0.5838, 0.5000)
Y (0.4850, 0.9880, 0.5000)
Y (0.8241, 0.7188, 0.0000)
Y (0.3796, 0.2836, 0.0000)
Y (0.8148, 0.0774, 0.5000)
Y (0.7095, 0.3729, 0.0000)
Y (0.1674, 0.4285, 0.5000)
Y (0.3704, 0.6424, 0.5000)
Y (0.0272, 0.9328, 0.0000)

Output
As for the formation energy: -0.246 eV/atom. The value obtained for the magnetization is 0.05 μB per cell.

***

# 4
This record from OQMD describes a relaxed structure of MgTlReW. The functional is PBE.

abc: 4.6208 4.6208 4.6208
angles: 60.00 60.00 60.00
Fractional positions:
W (0.0000, 0.0000, 0.0000)
Re (0.5000, 0.5000, 0.5000)
Tl (0.2500, 0.2500, 0.2500)
Mg (0.7500, 0.7500, 0.7500)

Output
The calculation puts the energy above the most stable polymorph in this dataset at 561 meV/atom. The value obtained for the magnetization is 0.59 μB per cell.

***

# 5
This record from OQMD describes a relaxed structure of GdY2Sn4Pb3. The functional is PBE.

abc: 13.5708 13.5708 4.5153
angles: 90.00 90.00 160.98
Fractional positions:
Y (0.3085, 0.6915, 0.0000)
Y (0.6915, 0.3085, 0.0000)
Sn (0.5981, 0.4019, 0.5000)
Sn (0.4019, 0.5981, 0.5000)
Sn (0.2115, 0.7885, 0.5000)
Sn (0.7885, 0.2115, 0.5000)
Pb (0.0988, 0.9012, 0.0000)
Pb (0.9012, 0.0988, 0.0000)
Pb (0.5000, 0.5000, 0.0000)
Gd (0.0000, 0.0000, 0.5000)

Output
The calculation puts the energy above the most stable polymorph in this dataset at 2 meV/atom. The value obtained for the magnetization is 0.00 μB per cell.

***

# 6
This record from OQMD describes a relaxed structure of NiBOsAu. The functional is PBE.

abc: 4.1089 4.1089 4.1089
angles: 60.00 60.00 60.00
Fractional positions:
Os (0.2500, 0.2500, 0.2500)
Ni (0.5000, 0.5000, 0.5000)
Au (0.7500, 0.7500, 0.7500)
B (0.0000, 0.0000, 0.0000)

Output
Its total energy is -5.959 eV per atom. The value obtained for the magnetization is 0.06 μB per cell.

***

# 7
This record from OQMD describes a relaxed structure of TlAgPtSeS2. The functional is PBE.

abc: 7.4704 7.4704 10.6263
angles: 90.00 90.00 152.22
Fractional positions:
S (0.8912, 0.1088, 0.4836)
S (0.8912, 0.1088, 0.0164)
S (0.1088, 0.8912, 0.5164)
S (0.1088, 0.8912, 0.9836)
Ag (0.1276, 0.8724, 0.7500)
Ag (0.8724, 0.1276, 0.2500)
Se (0.5291, 0.4709, 0.2500)
Se (0.4709, 0.5291, 0.7500)
Pt (0.5000, 0.5000, 0.5000)
Pt (0.5000, 0.5000, 0.0000)
Tl (0.7986, 0.2014, 0.7500)
Tl (0.2014, 0.7986, 0.2500)

Output
Its total energy is -4.026 eV per atom. The value obtained for the magnetization is 0.07 μB per cell.